Record 1
{"formula": "Fe3Pt", "functional": "PBE", "state": "optimized geometry", "cell": [[4.7892, 0.0000, 0.0000], [0.0000, 4.7892, 0.0000], [0.0000, 0.0000, 4.7892]], "species": ["Fe", "Fe", "Fe", "Pt"], "frac_coords": [[0.0000, 0.5000, 0.0000], [0.0000, 0.0000, 0.5000], [0.5000, 0.0000, 0.0000], [0.0000, 0.0000, 0.0000]], "e_form_ev_per_atom": 1.500, "sg": "Pm-3m (221)"}

---

Record 2
{"formula": "Cd2TeOs", "functional": "PBE", "state": "optimized geometry", "cell": [[-1.5266, 3.0412, 1.5717], [-3.4185, -1.2635, -0.8757], [-0.2819, -2.7930, 5.1307]], "species": ["Os", "Te", "Cd", "Cd"], "frac_coords": [[0.5000, 0.5000, 0.2500], [0.5000, 0.5000, 0.7500], [0.0000, 0.0000, 0.4789], [0.0000, 0.0000, 0.0211]], "raw_formation_energy_ev_per_atom": 0.654, "sg": "P4/mmm (123)"}